# LiV2ZnO6

LiV2ZnO6 after structural relaxation (GGA+U, Alexandria).

Results
- total energy (eV/atom) = -6.63
- size of the total moment (Bohr magnetons per cell) = 4.0

a = 11.4709 Å, b = 11.6664 Å, c = 5.6653 Å
α = 90.00°, β = 119.19°, γ = 90.00°
With the nearest neighbours (Å) after each atom.
Space group C2/c (No. 15)
Unique sites:
Li 0.0000 0.2450 0.2500  4 O 2.01-2.02
V 0.2466 0.4093 0.2697  4 O 1.74-1.80
Zn 0.0000 0.2465 0.7500  4 O 1.96
O 0.1034 0.3258 0.0969  1 V 1.74
O 0.1041 0.1660 0.6102  1 V 1.74
O 0.2429 0.4755 0.5539  2 V 1.80